1 | ## Ag2Pt2Br (PBE)

Data for a relaxed Ag2Pt2Br crystal.

extended XYZ file:
```
10
Lattice="-0.784 -0.412 8.310 5.078 -6.636 0.150 2.196 1.687 0.291" Properties=species:S:1:pos:R:3 pbc="T T T"
Br 0.000 0.000 0.000
Br 2.147 -3.524 4.230
Ag 3.910 -5.568 2.776
Ag 2.815 -4.855 6.910
Ag 0.384 -1.480 5.684
Ag 1.480 -2.193 1.550
Pt 4.122 -3.272 1.177
Pt 5.121 -5.295 5.373
Pt 2.367 -2.090 7.574
Pt 1.369 -0.066 3.378
```

SG	P4/mbm



2 | ## Ag2Pt2Br (PBE)

Data for a relaxed Ag2Pt2Br crystal.

extended XYZ file:
```
5
Lattice="-3.215 -0.997 -1.497 -0.173 -2.880 2.291 -5.418 2.368 5.529" Properties=species:S:1:pos:R:3 pbc="T T T"
Br 0.000 0.000 0.000
Ag -2.467 -1.045 1.462
Ag -6.340 -0.465 4.861
Pt -5.164 -0.284 2.215
Pt -3.643 -1.225 4.109
```

SG	I4/mmm



Stability summary - winner: 2; margin: 136 meV/atom.



1 | ## AgPt3Br (PBE)

Data for a relaxed AgPt3Br crystal.

extended XYZ file:
```
5
Lattice="-3.794 3.046 0.923 -1.778 -0.838 -4.545 -2.640 -3.813 1.735" Properties=species:S:1:pos:R:3 pbc="T T T"
Br -4.106 -0.802 -0.944
Ag 0.000 0.000 0.000
Pt -0.889 -0.419 -2.273
Pt -1.320 -1.907 0.868
Pt -1.897 1.523 0.461
```

SG	Pm-3m



2 | ## AgPt3Br (PBE)

Data for a relaxed AgPt3Br crystal.

extended XYZ file:
```
5
Lattice="-0.668 4.128 2.216 0.664 -2.132 4.173 4.638 0.900 -0.278" Properties=species:S:1:pos:R:3 pbc="T T T"
Br 0.000 0.000 0.000
Ag 2.317 1.448 3.055
Pt 0.332 -1.066 2.086
Pt 2.319 0.450 -0.139
Pt -0.334 2.064 1.108
```

SG	Pm-3m



Stability summary - winner: 2; margin: 504 meV/atom.